Entry 1:
# Gd2GaSiI2, optimized geometry, DFT PBE
data_Gd2GaSiI2
_chemical_formula_sum 'Gd2 Ga1 Si1 I2'
_symmetry_space_group_name_H-M 'P 1'
_symmetry_Int_Tables_number 1
_cell_length_a 4.148
_cell_length_b 4.148
_cell_length_c 12.045
_cell_angle_alpha 90.00
_cell_angle_beta 90.00
_cell_angle_gamma 120.00
loop_
_symmetry_equiv_pos_as_xyz
'x,y,z'
loop_
_atom_site_label
_atom_site_fract_x
_atom_site_fract_y
_atom_site_fract_z
Gd1 0.667 0.333 0.333
Gd2 0.667 0.333 0.667
I1 0.333 0.667 0.164
I2 0.000 0.000 0.837
Si1 0.333 0.667 0.517
Ga1 0.000 0.000 0.482
# Volume = 179.4 Å³/cell
# Size of the total moment = 0.0 μB per cell
# Calculated total energy = -27.1 eV/cell

---

Entry 2:
# SmGdGa2I2, optimized geometry, DFT PBE
data_SmGdGa2I2
_chemical_formula_sum 'Sm1 Gd1 Ga2 I2'
_symmetry_space_group_name_H-M 'P 1'
_symmetry_Int_Tables_number 1
_cell_length_a 4.238
_cell_length_b 4.238
_cell_length_c 12.333
_cell_angle_alpha 90.00
_cell_angle_beta 90.00
_cell_angle_gamma 120.00
loop_
_symmetry_equiv_pos_as_xyz
'x,y,z'
loop_
_atom_site_label
_atom_site_fract_x
_atom_site_fract_y
_atom_site_fract_z
I1 0.333 0.667 0.169
I2 0.667 0.333 0.829
Ga1 0.667 0.333 0.474
Ga2 0.333 0.667 0.528
Sm1 0.000 0.000 0.334
Gd1 0.000 0.000 0.666
# Volume = 191.8 Å³/cell
# Size of the total moment = 0.0 μB per cell
# Calculated total energy = -24.9 eV/cell